Computed, not measured: a relaxed TbPr2Tl2Cd2 crystal at the GGA-PBE level of DFT.

```
TbPr2Tl2Cd2
1.0
2.513 1.451 9.332
-2.513 1.451 9.332
0.000 -2.902 9.332
Tb Pr Tl Cd
1 2 2 2
direct
0.000 0.000 0.000 Tb
0.126 0.126 0.126 Pr
0.874 0.874 0.874 Pr
0.261 0.261 0.261 Tl
0.739 0.739 0.739 Tl
0.388 0.388 0.388 Cd
0.612 0.612 0.612 Cd
```

Results
E_form   -178 meV/atom
DOS at the Fermi energy   5.3 states/eV/f.u.